Entry from Alexandria via LeMat-Bulk: a relaxed structure of MnNiGeMo (PBE).

abc: 4.238 4.238 4.238
angles: 60.00 60.00 60.00
Positions (direct):
Mn: 0.000 0.000 0.000
Ni: 0.250 0.250 0.250
Ge: 0.500 0.500 0.500
Mo: 0.750 0.750 0.750

Results
Formation energy from the elements   -46 meV per atom
Calculated volume   13.5 A^3/atom

Entry from Alexandria via LeMat-Bulk: a relaxed structure of Pm3Sn3Pt (PBE).

abc: 6.149 6.149 15.262
angles: 108.32 108.32 43.94
Positions (direct):
Pm: 0.024 0.024 0.380
Pm: 0.098 0.098 0.923
Pm: 0.241 0.241 0.236
Pm: 0.759 0.759 0.764
Pm: 0.902 0.902 0.077
Pm: 0.976 0.976 0.620
Sn: 0.354 0.354 0.466
Sn: 0.373 0.373 0.924
Sn: 0.474 0.474 0.766
Sn: 0.526 0.526 0.234
Sn: 0.627 0.627 0.076
Sn: 0.646 0.646 0.534
Pt: 0.254 0.254 0.617
Pt: 0.746 0.746 0.383

Results
Formation energy from the elements   -885 meV per atom
Calculated volume   26.9 A^3/atom

Entry from Alexandria via LeMat-Bulk: a relaxed structure of CrHg2Ir (PBE).

abc: 5.544 5.544 4.959
angles: 111.72 111.72 31.10
Positions (direct):
Cr: 0.000 0.000 0.000
Hg: 0.545 0.545 0.528
Hg: 0.758 0.758 0.156
Ir: 0.307 0.307 0.689

Results
Offset from the most stable computed form   210 meV per atom
Formation energy from the elements   433 meV per atom
Calculated volume   18.2 A^3/atom

For reference, N(E_F) by record: 0.5966 0.7802 0.5526 states/eV per atom.
For reference, total magnetic moment by record: 2.5 0.0 3.3 Bohr magnetons per cell.